VASP calculation (PBE) on Pa2CdRh after structural relaxation.

The space group is R-3m (No. 166, hexagonal axes) and the conventional cell measures 3.1091, 3.1091 and 33.7260 Å, with angles of 90.00, 90.00 and 120.00 degrees. The inequivalent atoms are Pa at (0.0000, 0.0000, 0.0978), Cd at (0.0000, 0.0000, 0.0000) and Rh at (0.0000, 0.0000, 0.5000).

Its formation enthalpy at 0 K is 0.089 eV per atom. The value obtained for the excess energy over the best structure of this formula in the dataset is 0.259 eV per atom. Its total magnetic moment is 0.000 μB per atom.

VASP calculation (PBE) on PaCdTcRh after structural relaxation.

The space group is F-43m (No. 216) and the conventional cell measures 6.675, 6.675 and 6.675 Å, with angles of 90.00, 90.00 and 90.00 degrees. The inequivalent atoms are Pa at (0.000, 0.000, 0.000), Cd at (0.000, 0.000, 0.500), Tc at (0.250, 0.250, 0.250) and Rh at (0.250, 0.250, 0.750).

Its formation enthalpy at 0 K is -0.240 eV per atom. Its total magnetic moment is 0.000 μB per atom.

VASP calculation (PBE) on PaZnCd2Rh2 after structural relaxation.

The space group is Pmc2_1 (No. 26) and the conventional cell measures 3.825, 8.517 and 7.071 Å, with angles of 90.00, 90.00 and 90.00 degrees. The inequivalent atoms are Pa at (0.000, 0.103, 0.000), Zn at (0.500, 0.191, 0.657), Cd at (0.000, 0.318, 0.419), Cd at (0.500, 0.440, 0.116), Rh at (0.000, 0.355, 0.825) and Rh at (0.500, 0.092, 0.282).

Its formation enthalpy at 0 K is -0.447 eV per atom. Its total magnetic moment is 0.000 μB per atom.

VASP calculation (PBE) on PaZnCdRh after structural relaxation.

The space group is F-43m (No. 216) and the conventional cell measures 6.783, 6.783 and 6.783 Å, with angles of 90.00, 90.00 and 90.00 degrees. The inequivalent atoms are Pa at (0.000, 0.000, 0.000), Zn at (0.250, 0.250, 0.250), Cd at (0.000, 0.000, 0.500) and Rh at (0.250, 0.250, 0.750).

Its formation enthalpy at 0 K is -0.216 eV per atom. Its total magnetic moment is 0.000 μB per atom.

VASP calculation (PBE) on Pa2CdRu after structural relaxation.

The space group is R-3m (No. 166, hexagonal axes) and the conventional cell measures 3.1206, 3.1206 and 33.4497 Å, with angles of 90.00, 90.00 and 120.00 degrees. The inequivalent atoms are Pa at (0.0000, 0.0000, 0.0992), Cd at (0.0000, 0.0000, 0.0000) and Ru at (0.0000, 0.0000, 0.5000).

Its formation enthalpy at 0 K is 0.185 eV per atom. The value obtained for the excess energy over the best structure of this formula in the dataset is 0.366 eV per atom. Its total magnetic moment is 0.000 μB per atom.

VASP calculation (PBE) on Pa2CdRu after structural relaxation.

The space group is P4/mmm (No. 123) and the conventional cell measures 3.137, 3.137 and 8.955 Å, with angles of 90.00, 90.00 and 90.00 degrees. The inequivalent atoms are Pa at (0.000, 0.000, 0.215), Cd at (0.500, 0.500, 0.500) and Ru at (0.500, 0.500, 0.000).

Its formation enthalpy at 0 K is -0.181 eV per atom. The value obtained for the excess energy over the best structure of this formula in the dataset is 0.000 eV per atom. Its total magnetic moment is 0.000 μB per atom.

VASP calculation (PBE) on Pa2CdS5 after structural relaxation.

The space group is Pbam (No. 55) and the conventional cell measures 7.438, 11.837 and 3.823 Å, with angles of 90.00, 90.00 and 90.00 degrees. The inequivalent atoms are Pa at (0.012, 0.175, 0.000), Cd at (0.000, 0.500, 0.500), S at (0.000, 0.000, 0.500), S at (0.163, 0.393, 0.000) and S at (0.196, 0.701, 0.500).

Its total magnetic moment is 0.153 μB per atom. The energy relative to the elements, uncorrected is -1296 meV/atom.

VASP calculation (PBE) on Sr2PaCdS5 after structural relaxation.

The space group is Cmc2_1 (No. 36) and the conventional cell measures 4.106, 17.391 and 12.775 Å, with angles of 90.00, 90.00 and 90.00 degrees. The inequivalent atoms are Sr at (0.000, 0.104, 0.000), Sr at (0.000, 0.127, 0.626), Pa at (0.000, 0.213, 0.334), Cd at (0.000, 0.462, 0.772), S at (0.000, 0.060, 0.383), S at (0.000, 0.281, 0.978), S at (0.000, 0.303, 0.692), S at (0.000, 0.366, 0.320) and S at (0.000, 0.496, 0.089).

Its total magnetic moment is 0.111 μB per atom. The energy relative to the elements, uncorrected is -1601 meV/atom.

VASP calculation (PBE) on PaTl2CdS4 after structural relaxation.

The space group is P2/m (No. 10) and the conventional cell measures 6.870, 4.019 and 8.006 Å, with angles of 90.00, 107.83 and 90.00 degrees. The inequivalent atoms are Pa at (0.000, 0.000, 0.000), Tl at (0.000, 0.500, 0.500), Tl at (0.500, 0.000, 0.500), Cd at (0.500, 0.500, 0.000), S at (0.219, 0.500, 0.204) and S at (0.265, 0.000, 0.808).

Its total magnetic moment is 0.125 μB per atom. The energy relative to the elements, uncorrected is -880 meV/atom.

VASP calculation (PBE) on Pa2CdSb4 after structural relaxation.

The space group is P-4m2 (No. 115) and the conventional cell measures 4.338, 4.338 and 10.442 Å, with angles of 90.00, 90.00 and 90.00 degrees. The inequivalent atoms are Pa at (0.000, 0.500, 0.227), Cd at (0.000, 0.000, 0.500), Sb at (0.000, 0.000, 0.000), Sb at (0.000, 0.500, 0.692) and Sb at (0.500, 0.500, 0.000).

Its total magnetic moment is 0.213 μB per atom. The energy relative to the elements, uncorrected is -325 meV/atom.

VASP calculation (PBE) on PaCd2Sb after structural relaxation.

The space group is P4/mmm (No. 123) and the conventional cell measures 4.405, 4.405 and 5.088 Å, with angles of 90.00, 90.00 and 90.00 degrees. The inequivalent atoms are Pa at (0.000, 0.000, 0.000), Cd at (0.000, 0.500, 0.500) and Sb at (0.500, 0.500, 0.000).

The value obtained for the excess energy over the best structure of this formula in the dataset is 0.000 eV per atom. Its total magnetic moment is 0.000 μB per atom. The energy relative to the elements, uncorrected is -184 meV/atom.

VASP calculation (PBE) on PaCdSb after structural relaxation.

The space group is P-6m2 (No. 187) and the conventional cell measures 5.2343, 5.2343 and 3.1488 Å, with angles of 90.00, 90.00 and 120.00 degrees. The inequivalent atoms are Pa at (0.0000, 0.0000, 0.0000), Cd at (0.6667, 0.3333, 0.5000) and Sb at (0.3333, 0.6667, 0.5000).

The value obtained for the excess energy over the best structure of this formula in the dataset is 0.000 eV per atom. Its total magnetic moment is 0.435 μB per atom. The energy relative to the elements, uncorrected is -35 meV/atom.

Look up the total magnetic moment of the twelfth one.
0.435 μB per atom

Repeat the seventh record exactly.
VASP calculation (PBE) on Pa2CdS5 after structural relaxation.

The space group is Pbam (No. 55) and the conventional cell measures 7.438, 11.837 and 3.823 Å, with angles of 90.00, 90.00 and 90.00 degrees. The inequivalent atoms are Pa at (0.012, 0.175, 0.000), Cd at (0.000, 0.500, 0.500), S at (0.000, 0.000, 0.500), S at (0.163, 0.393, 0.000) and S at (0.196, 0.701, 0.500).

Its total magnetic moment is 0.153 μB per atom. The energy relative to the elements, uncorrected is -1296 meV/atom.

Which formula does entry 8 have?
Sr2PaCdS5

total magnetic moment of number 11 (PaCd2Sb)?
0.000 μB per atom